VASP calculation (PBE) on a relaxed structure of CoN.

Results
The relative energy among the computed polymorphs comes out at 13.16 kJ per mole of atoms. As for the density: 5.35 g/cm3. The value obtained for the formation energy from raw total energies is 23.3 kJ per mole of atoms. Its spin magnetization is 0.000 Bohr magnetons per cell.

Cell: 5.666 5.666 5.666 Å, 94.13 94.13 148.87°
Fractional coordinates of all 8 atoms:
Co  0.132  0.718  0.850
Co  0.282  0.132  0.414
Co  0.718  0.868  0.586
Co  0.868  0.282  0.150
N  0.101  0.295  0.396
N  0.295  0.899  0.194
N  0.705  0.101  0.806
N  0.899  0.705  0.604